1.
Compound: Cu2HO
Source: Alexandria
Functional: GGA-PBE
Structure: optimized geometry

Cell: 5.172 5.172 5.172 Å, 90.00 90.00 90.00°
Space group Fm-3m (No. 225)
Asymmetric unit:
Cu: 0.250 0.250 0.250 x8
H: 0.000 0.000 0.000 x4
O: 0.000 0.000 0.500 x4

* magnetic moment: 0.00 μB per formula unit
* calculated total energy: -3.8613 eV/atom
* energy above the lowest structure with this stoichiometry: 393 meV per atom

2.
Compound: Li2NdH4
Source: Alexandria
Functional: GGA-PBE
Structure: optimized geometry

Cell: 4.503 4.503 10.735 Å, 90.00 90.00 90.00°
Space group I4/mmm (No. 139)
Asymmetric unit:
Li: 0.000 0.000 0.135 x4
Nd: 0.000 0.000 0.500 x2
H: 0.000 0.000 0.293 x4
H: 0.000 0.500 0.000 x4

* magnetic moment: 0.14 μB per formula unit
* calculated total energy: -3.2469 eV/atom

3.
Compound: NaCePrIn
Source: Alexandria
Functional: GGA-PBE
Structure: optimized geometry

Cell: 7.858 7.858 7.858 Å, 90.00 90.00 90.00°
Space group F-43m (No. 216)
Asymmetric unit:
Na: 0.000 0.000 0.000 x4
Ce: 0.250 0.250 0.750 x4
Pr: 0.250 0.250 0.250 x4
In: 0.000 0.000 0.500 x4

* magnetic moment: 1.12 μB per formula unit
* calculated total energy: -3.7322 eV/atom

4.
Compound: CdReP2
Source: Alexandria
Functional: GGA-PBE
Structure: optimized geometry

Cell: 3.026 3.220 14.403 Å, 90.00 90.00 90.00°
Space group Imm2 (No. 44)
Asymmetric unit:
Cd: 0.000 0.000 0.000 x2
Re: 0.000 0.500 0.739 x2
P: 0.000 0.000 0.366 x2
P: 0.000 0.500 0.162 x2

* magnetic moment: 0.00 μB per formula unit
* calculated total energy: -5.9516 eV/atom

5.
Compound: Rb2NaHgSe
Source: Alexandria
Functional: GGA-PBE
Structure: optimized geometry

Cell: 6.734 6.734 5.481 Å, 90.00 90.00 90.00°
Space group P4/mmm (No. 123)
Asymmetric unit:
Rb: 0.000 0.500 0.000 x2
Na: 0.000 0.000 0.500 x1
Hg: 0.500 0.500 0.500 x1
Se: 0.000 0.000 0.000 x1

* magnetic moment: 0.00 μB per formula unit
* calculated total energy: -1.9904 eV/atom
* formation energy (no corrections): -2.912 eV/f.u.

6.
Compound: LiCaBIr2
Source: Alexandria
Functional: GGA-PBE
Structure: optimized geometry

Cell: 4.169 4.169 4.375 Å, 90.00 90.00 90.00°
Space group P4/mmm (No. 123)
Asymmetric unit:
Li: 0.000 0.000 0.000 x1
Ca: 0.500 0.500 0.000 x1
B: 0.000 0.000 0.500 x1
Ir: 0.000 0.500 0.500 x2

* magnetic moment: 0.00 μB per formula unit
* calculated total energy: -6.0977 eV/atom
* energy above the lowest structure with this stoichiometry: 0 meV per atom

7.
Compound: AcURh3
Source: Alexandria
Functional: GGA-PBE
Structure: optimized geometry

Cell: 6.3858 6.3858 6.3695 Å, 90.00 90.00 120.00°
Space group P6_3/mmc (No. 194)
Asymmetric unit:
Ac: 0.3333 0.6667 0.2500 x2
U: 0.0000 0.0000 0.0000 x2
Rh: 0.1894 0.3788 0.7500 x6

* magnetic moment: 0.68 μB per formula unit
* calculated total energy: -7.9969 eV/atom

8.
Compound: Ac3Nd5Te8
Source: Alexandria
Functional: GGA-PBE
Structure: optimized geometry

Cell: 7.904 7.904 7.904 Å, 90.00 90.00 90.00°
Space group Pm-3m (No. 221)
Asymmetric unit:
Ac: 0.000 0.000 0.500 x3
Nd: 0.000 0.000 0.000 x1
Nd: 0.000 0.500 0.500 x3
Nd: 0.500 0.500 0.500 x1
Te: 0.253 0.253 0.253 x8

* magnetic moment: 0.00 μB per formula unit
* calculated total energy: -5.1728 eV/atom
* formation energy (no corrections): -21.467 eV/f.u.

9.
Compound: CsCdB2H8
Source: Alexandria
Functional: GGA-PBE
Structure: optimized geometry

Cell: 5.3535 5.3535 19.5783 Å, 90.00 90.00 120.00°
Space group R-3m (No. 166, hexagonal axes)
Asymmetric unit:
Cs: 0.0000 0.0000 0.0000 x3
Cd: 0.0000 0.0000 0.5000 x3
B: 0.0000 0.0000 0.2508 x6
H: 0.0000 0.0000 0.3133 x6
H: 0.0827 0.5413 0.8944 x18

* magnetic moment: 0.00 μB per formula unit
* calculated total energy: -3.6319 eV/atom

10.
Compound: Cs4P2Pt
Source: Alexandria
Functional: GGA-PBE
Structure: optimized geometry

Cell: 6.1495 6.1495 27.9234 Å, 90.00 90.00 120.00°
Space group R-3m (No. 166, hexagonal axes)
Asymmetric unit:
Cs: 0.0000 0.0000 0.1269 x6
Cs: 0.0000 0.0000 0.2893 x6
P: 0.0000 0.0000 0.4188 x6
Pt: 0.0000 0.0000 0.5000 x3

* magnetic moment: 2.01 μB per formula unit
* calculated total energy: -3.2580 eV/atom

11.
Compound: MnAsHBr2
Source: Alexandria
Functional: GGA-PBE
Structure: optimized geometry

Cell: 5.226 5.226 3.519 Å, 90.00 90.00 90.00°
Space group P4/mmm (No. 123)
Asymmetric unit:
Mn: 0.000 0.000 0.000 x1
As: 0.500 0.500 0.000 x1
H: 0.500 0.500 0.500 x1
Br: 0.000 0.500 0.500 x2

* magnetic moment: 4.68 μB per formula unit
* calculated total energy: -3.6173 eV/atom
* energy above the lowest structure with this stoichiometry: 0 meV per atom

12.
Compound: CaPtSe
Source: Alexandria
Functional: GGA-PBE
Structure: optimized geometry

Cell: 5.798 6.041 8.233 Å, 90.00 110.48 90.00°
Space group Cc (No. 9)
Asymmetric unit:
Ca: 0.000 0.130 0.000 x4
Pt: 0.053 0.412 0.660 x4
Se: 0.435 0.171 0.846 x4

* magnetic moment: 0.00 μB per formula unit
* calculated total energy: -4.8976 eV/atom
* formation energy (no corrections): -3.166 eV/f.u.